(1)
NaTcO | PBE-GGA | relaxed

Results
- V: 80 Å³ per cell
- DOS at the Fermi energy: 3.776 states/eV per cell
- Raw formation energy: -0.954 eV per atom
- Total magnetic moment: 0.0 μB/f.u.
- Energy relative to the lowest polymorph listed for this composition: 0 meV per atom

Lattice parameters (Å, degrees): 3.1504 3.1504 8.0875 90.00 90.00 90.00
Element x y z (fractional)
Na 0.0000 0.5000 0.6301
Na 0.5000 0.0000 0.3699
Tc 0.0000 0.5000 0.0856
Tc 0.5000 0.0000 0.9144
O 0.0000 0.5000 0.3196
O 0.5000 0.0000 0.6804

=====

(2)
NdSc2Se | PBE-GGA | relaxed

Results
- V: 104 Å³ per cell
- DOS at the Fermi energy: 5.084 states/eV per cell
- Raw formation energy: -0.717 eV per atom
- Total magnetic moment: 0.0 μB/f.u.
- Energy relative to the lowest polymorph listed for this composition: 0 meV per atom

Lattice parameters (Å, degrees): 3.6383 3.6383 9.2820 78.70 78.70 60.00
Element x y z (fractional)
Nd 0.5002 0.5002 0.4994
Sc 0.0622 0.0622 0.8135
Sc 0.2710 0.2710 0.1869
Se 0.6666 0.6666 0.0002

=====

(3)
Cu5Cl12F3 | PBE-GGA | relaxed

Results
- V: 1740 Å³ per cell
- DOS at the Fermi energy: 94.235 states/eV per cell
- Raw formation energy: -0.196 eV per atom
- Total magnetic moment: 4.3 μB/f.u.

Lattice parameters (Å, degrees): 13.1229 13.1229 13.1229 109.47 109.47 109.47
Last column: magnetic moment on the atom in μB.
Element x y z (fractional)
F 0.7500 0.3750 0.1250  0.58
F 0.8750 0.7500 0.1250  0.58
F 0.3750 0.7500 0.6250  0.58
F 0.2500 0.1250 0.3750  0.58
F 0.8750 0.1250 0.2500  0.58
F 0.3750 0.6250 0.2500  0.58
F 0.6250 0.3750 0.7500  0.58
F 0.1250 0.8750 0.7500  0.58
F 0.7500 0.8750 0.6250  0.58
F 0.6250 0.2500 0.3750  0.58
F 0.1250 0.2500 0.8750  0.58
F 0.2500 0.6250 0.8750  0.58
Cu 0.1250 0.3750 0.2500  0.13
Cu 0.0000 0.5000 0.0000  0.04
Cu 0.0000 0.0000 0.0000  0.04
Cu 0.3750 0.2500 0.1250  0.13
Cu 0.5000 0.0000 0.5000  0.04
Cu 0.5000 0.5000 0.0000  0.04
Cu 0.1250 0.7500 0.3750  0.13
Cu 0.7500 0.1250 0.8750  0.13
Cu 0.7500 0.6250 0.3750  0.13
Cu 0.3750 0.1250 0.7500  0.13
Cu 0.6250 0.8750 0.2500  0.13
Cu 0.5000 0.5000 0.5000  0.04
Cu 0.5000 0.0000 0.0000  0.04
Cu 0.0000 0.0000 0.5000  0.04
Cu 0.2500 0.3750 0.6250  0.13
Cu 0.2500 0.8750 0.1250  0.13
Cu 0.0000 0.5000 0.5000  0.04
Cu 0.8750 0.2500 0.6250  0.13
Cu 0.6250 0.7500 0.8750  0.13
Cu 0.8750 0.6250 0.7500  0.13
Cl 0.6823 0.1296 0.0101  0.13
Cl 0.3278 0.5101 0.3805  0.13
Cl 0.9899 0.3704 0.3177  0.13
Cl 0.5101 0.1823 0.1296  0.13
Cl 0.5527 0.6823 0.6722  0.13
Cl 0.9899 0.6195 0.1722  0.13
Cl 0.3278 0.8177 0.4473  0.13
Cl 0.1195 0.9473 0.1296  0.13
Cl 0.6195 0.9899 0.6722  0.13
Cl 0.6823 0.5527 0.1722  0.13
Cl 0.8177 0.4899 0.3704  0.13
Cl 0.8278 0.8805 0.0101  0.13
Cl 0.1296 0.6823 0.5101  0.13
Cl 0.3704 0.3805 0.0527  0.13
Cl 0.0527 0.8805 0.3704  0.13
Cl 0.4473 0.1296 0.6195  0.13
Cl 0.0527 0.1722 0.1823  0.13
Cl 0.4899 0.6722 0.1195  0.13
Cl 0.8278 0.9473 0.3177  0.13
Cl 0.1296 0.4473 0.1195  0.13
Cl 0.3704 0.9899 0.8177  0.13
Cl 0.6195 0.6296 0.4473  0.13
Cl 0.8805 0.8278 0.5101  0.13
Cl 0.8177 0.3278 0.9473  0.13
Cl 0.3805 0.3704 0.5527  0.13
Cl 0.1195 0.1722 0.4899  0.13
Cl 0.1823 0.6722 0.0527  0.13
Cl 0.1722 0.0527 0.6823  0.13
Cl 0.6296 0.0101 0.1823  0.13
Cl 0.8704 0.5527 0.8805  0.13
Cl 0.5101 0.3278 0.8805  0.13
Cl 0.5527 0.8704 0.3805  0.13
Cl 0.9473 0.8278 0.8177  0.13
Cl 0.9473 0.1195 0.6296  0.13
Cl 0.8704 0.3177 0.4899  0.13
Cl 0.1722 0.1195 0.9899  0.13
Cl 0.6296 0.6195 0.9473  0.13
Cl 0.3805 0.0101 0.3278  0.13
Cl 0.3177 0.4473 0.8278  0.13
Cl 0.1823 0.5101 0.6296  0.13
Cl 0.8805 0.0527 0.8704  0.13
Cl 0.6722 0.1823 0.5527  0.13
Cl 0.4899 0.8177 0.8704  0.13
Cl 0.0101 0.3805 0.8278  0.13
Cl 0.4473 0.3177 0.3278  0.13
Cl 0.0101 0.6296 0.6823  0.13
Cl 0.6722 0.4899 0.6195  0.13
Cl 0.3177 0.8704 0.9899  0.13

=====

(4)
CrIrRh6 | PBE-GGA | relaxed

Results
- V: 112 Å³ per cell
- DOS at the Fermi energy: 9.601 states/eV per cell
- ΔH_f (0 K): -0.04 eV per atom
- Total magnetic moment: 1.4 μB/f.u.
- Energy relative to the lowest polymorph listed for this composition: 0 meV per atom

Lattice parameters (Å, degrees): 3.8352 5.4101 5.4101 89.99 90.00 90.00
Last column: magnetic moment on the atom in μB.
Element x y z (fractional)
Cr 0.5000 0.0000 0.0000  2.07
Ir 0.5000 0.5000 0.5000  -0.01
Rh 0.0000 0.7522 0.2478  -0.14
Rh 0.0000 0.2478 0.7522  -0.14
Rh 0.0000 0.7522 0.7522  -0.14
Rh 0.0000 0.2478 0.2478  -0.14
Rh 0.5000 0.5000 0.0000  -0.10
Rh 0.5000 0.0000 0.5000  -0.10

=====

(5)
LuSn2Au | PBE-GGA | relaxed

Results
- V: 92 Å³ per cell
- DOS at the Fermi energy: 2.314 states/eV per cell
- ΔH_f (0 K): -0.47 eV per atom
- Total magnetic moment: 0.0 μB/f.u.
- Energy relative to the lowest polymorph listed for this composition: 0 meV per atom

Lattice parameters (Å, degrees): 4.4024 4.5679 4.5679 90.00 90.00 90.00
Element x y z (fractional)
Lu 0.5000 0.5000 0.5000
Au 0.5000 0.0000 0.0000
Sn 0.0000 0.0000 0.5000
Sn 0.0000 0.5000 0.0000

=====

(6)
CaSmSc2 | PBE-GGA | relaxed

Results
- V: 122 Å³ per cell
- DOS at the Fermi energy: 7.166 states/eV per cell
- ΔH_f (0 K): 0.15 eV per atom
- Total magnetic moment: 0.3 μB/f.u.
- Energy relative to the lowest polymorph listed for this composition: 0 meV per atom

Lattice parameters (Å, degrees): 3.5142 3.5142 9.8590 90.00 90.00 90.00
Last column: magnetic moment on the atom in μB.
Element x y z (fractional)
Sc 0.0000 0.0000 0.7691  0.06
Sc 0.0000 0.0000 0.2309  0.06
Ca 0.5000 0.5000 0.5000  0.01
Sm 0.5000 0.5000 0.0000  0.01

=====

(7)
ScTiCu | PBE-GGA | relaxed

Results
- V: 106 Å³ per cell
- DOS at the Fermi energy: 3.931 states/eV per cell
- ΔH_f (0 K): -0.04 eV per atom
- Total magnetic moment: 0.0 μB/f.u.
- Energy relative to the lowest polymorph listed for this composition: 40 meV per atom

Lattice parameters (Å, degrees): 5.5846 3.0687 6.7033 103.21 76.43 105.95
Element x y z (fractional)
Sc 0.9233 0.2929 0.1257
Sc 0.8347 0.5407 0.7107
Cu 0.0898 0.0150 0.4042
Cu 0.2855 0.2777 0.7348
Ti 0.4317 0.9978 0.0277
Ti 0.4915 0.7145 0.4016

=====

(8)
AcSm7Dy3 | PBE-GGA | relaxed

Results
- V: 395 Å³ per cell
- DOS at the Fermi energy: 17.458 states/eV per cell
- ΔH_f (0 K): 0.20 eV per atom
- Total magnetic moment: 0.0 μB/f.u.

Lattice parameters (Å, degrees): 8.7339 7.2260 7.2260 120.00 90.00 90.00
Element x y z (fractional)
Ac 0.4446 0.3333 0.6667
Sm 0.1095 0.1666 0.8334
Sm 0.1095 0.1666 0.3332
Sm 0.1209 0.6667 0.3333
Sm 0.4536 0.8324 0.1676
Sm 0.4536 0.3353 0.1676
Sm 0.4536 0.8324 0.6647
Sm 0.1095 0.6668 0.8334
Dy 0.7867 0.5018 0.4982
Dy 0.7867 0.5018 0.0035
Dy 0.7867 0.9965 0.4982

=====

(9)
MgFeTeN2 | PBE-GGA | relaxed

Results
- V: 90 Å³ per cell
- DOS at the Fermi energy: 9.003 states/eV per cell
- Raw formation energy: 1.723 eV per atom
- Total magnetic moment: 2.9 μB/f.u.
- Energy relative to the lowest polymorph listed for this composition: 1094 meV per atom

Lattice parameters (Å, degrees): 3.9171 3.9171 5.8904 90.00 90.00 90.00
Last column: magnetic moment on the atom in μB.
Element x y z (fractional)
Mg 0.0000 0.0000 0.0000  -0.01
Te 0.0000 0.0000 0.5000  0.13
Fe 0.5000 0.5000 0.5000  0.20
N 0.0000 0.5000 0.0000  0.87
N 0.5000 0.0000 0.0000  0.87

=====

(10)
Na3WI | PBE-GGA | relaxed

Results
- V: 225 Å³ per cell
- DOS at the Fermi energy: 1.618 states/eV per cell
- Raw formation energy: 1.069 eV per atom
- Total magnetic moment: 6.0 μB/f.u.
- Energy relative to the lowest polymorph listed for this composition: 82 meV per atom

Lattice parameters (Å, degrees): 6.0805 6.0805 6.0805 90.00 90.00 90.00
Last column: magnetic moment on the atom in μB.
Element x y z (fractional)
I 0.5000 0.5000 0.5000  0.05
Na 0.0000 0.5000 0.0000  0.04
Na 0.0000 0.0000 0.5000  0.02
Na 0.5000 0.0000 0.0000  0.09
W 0.0000 0.0000 0.0000  3.50

=====

(11)
Re2SiAg | PBE-GGA | relaxed

Results
- V: 60 Å³ per cell
- DOS at the Fermi energy: 3.948 states/eV per cell
- Raw formation energy: 0.275 eV per atom
- Total magnetic moment: 0.0 μB/f.u.

Lattice parameters (Å, degrees): 8.9789 8.9789 8.9789 17.96 17.96 17.96
Element x y z (fractional)
Ag 0.7500 0.7500 0.7500
Re 0.9910 0.9910 0.9910
Re 0.5090 0.5090 0.5090
Si 0.2500 0.2500 0.2500

=====

(12)
AlSi2W | PBE-GGA | relaxed

Results
- V: 60 Å³ per cell
- DOS at the Fermi energy: 2.380 states/eV per cell
- Raw formation energy: 0.247 eV per atom
- Total magnetic moment: 0.0 μB/f.u.

Lattice parameters (Å, degrees): 2.7894 2.7894 7.9952 90.00 90.00 105.47
Element x y z (fractional)
Si 0.0000 0.0000 0.0051
Si 0.5000 0.5000 0.2511
Al 0.5000 0.5000 0.7519
W 0.0000 0.0000 0.4919

=====

| no. | DFT total energy (eV for the cell shown) |
| --- | --- |
| 1 | -39.01 |
| 2 | -23.78 |
| 3 | -208.72 |
| 4 | -62.94 |
| 5 | -17.69 |
| 6 | -18.80 |
| 7 | -36.90 |
| 8 | -48.70 |
| 9 | -21.23 |
| 10 | -13.11 |
| 11 | -32.07 |
| 12 | -26.55 |